Record 1
Na2LiCaF6 after structural relaxation. Source: the Alexandria database, functional PBE-GGA.

Cell lengths 5.7336, 5.9491, 9.4257 Å; angles 90.00, 125.19, 90.00 degrees
With the nearest neighbours (Å) after each atom.
Fractional coordinates of all 20 atoms:
Na1 0.2265 0.0639 0.2464  6 F 2.29-2.49
Na2 0.2265 0.4361 0.7464  6 F 2.29-2.49
Na3 0.7735 0.5639 0.2536  6 F 2.29-2.49
Na4 0.7735 0.9361 0.7536  6 F 2.29-2.49
Li1 0.0000 0.0000 0.5000  6 F 2.06-2.10
Li2 0.0000 0.5000 0.0000  6 F 2.06-2.10
Ca1 0.5000 0.0000 0.0000  6 F 2.24-2.28
Ca2 0.5000 0.5000 0.5000  6 F 2.24-2.28
F1 0.1135 0.2134 0.9229  1 Li 2.10, 1 Ca 2.28, 1 Na 2.34
F2 0.1135 0.2866 0.4229  1 Li 2.10, 1 Ca 2.28, 1 Na 2.34
F3 0.2097 0.6985 0.9231  1 Li 2.09, 1 Ca 2.26, 1 Na 2.32
F4 0.2097 0.8015 0.4231  1 Li 2.09, 1 Ca 2.26, 1 Na 2.32
F5 0.3809 0.0730 0.7325  1 Li 2.06, 1 Ca 2.24, 1 Na 2.29
F6 0.3809 0.4270 0.2325  1 Li 2.06, 1 Ca 2.24, 1 Na 2.29
F7 0.6191 0.5730 0.7675  1 Li 2.06, 1 Ca 2.24, 1 Na 2.29
F8 0.6191 0.9270 0.2675  1 Li 2.06, 1 Ca 2.24, 1 Na 2.29
F9 0.7903 0.1985 0.5769  1 Li 2.09, 1 Ca 2.26, 1 Na 2.32
F10 0.7903 0.3015 0.0769  1 Li 2.09, 1 Ca 2.26, 1 Na 2.32
F11 0.8865 0.7134 0.5771  1 Li 2.10, 1 Ca 2.28, 1 Na 2.34
F12 0.8865 0.7866 0.0771  1 Li 2.10, 1 Ca 2.28, 1 Na 2.34

Crystal system: monoclinic
Energy relative to the elements, uncorrected, kJ/mol of formula units: -2683



Record 2
NiRuSe2 after structural relaxation. Source: the Alexandria database, functional PBE-GGA.

Cell lengths 5.4256, 5.4256, 10.9065 Å; angles 90.00, 90.00, 90.00 degrees
With the nearest neighbours (Å) after each atom.
Fractional coordinates of all 16 atoms:
Ni1 0.0000 0.0000 0.0000  4 Se 2.32
Ni2 0.0000 0.5000 0.2500  4 Se 2.32
Ni3 0.5000 0.0000 0.7500  4 Se 2.32
Ni4 0.5000 0.5000 0.5000  4 Se 2.32
Ru1 0.0000 0.0000 0.5000  4 Se 2.38
Ru2 0.0000 0.5000 0.7500  4 Se 2.38
Ru3 0.5000 0.0000 0.2500  4 Se 2.38
Ru4 0.5000 0.5000 0.0000  4 Se 2.38
Se1 0.2403 0.2500 0.1250  2 Ni 2.32, 2 Ru 2.38
Se2 0.2500 0.7403 0.3750  2 Ni 2.32, 2 Ru 2.38
Se3 0.2500 0.7597 0.8750  2 Ni 2.32, 2 Ru 2.38
Se4 0.2597 0.2500 0.6250  2 Ni 2.32, 2 Ru 2.38
Se5 0.7403 0.7500 0.6250  2 Ni 2.32, 2 Ru 2.38
Se6 0.7500 0.2403 0.8750  2 Ni 2.32, 2 Ru 2.38
Se7 0.7500 0.2597 0.3750  2 Ni 2.32, 2 Ru 2.38
Se8 0.7597 0.7500 0.1250  2 Ni 2.32, 2 Ru 2.38

Crystal system: tetragonal
Energy relative to the elements, uncorrected, kJ/mol of formula units: -21



Record 3
MgOs3 after structural relaxation. Source: the Alexandria database, functional PBE-GGA.

Cell lengths 3.8628, 3.8628, 7.8887 Å; angles 90.00, 90.00, 90.00 degrees
With the nearest neighbours (Å) after each atom.
Fractional coordinates of all 8 atoms:
Mg1 0.0000 0.0000 0.0000  12 Os 2.73-2.76
Mg2 0.5000 0.5000 0.5000  12 Os 2.73-2.76
Os1 0.0000 0.0000 0.5000  4 Mg 2.73, 8 Os 2.76
Os2 0.0000 0.5000 0.2500  8 Os 2.73-2.76, 4 Mg 2.76
Os3 0.0000 0.5000 0.7500  8 Os 2.73-2.76, 4 Mg 2.76
Os4 0.5000 0.0000 0.2500  8 Os 2.73-2.76, 4 Mg 2.76
Os5 0.5000 0.0000 0.7500  8 Os 2.73-2.76, 4 Mg 2.76
Os6 0.5000 0.5000 0.0000  4 Mg 2.73, 8 Os 2.76

Crystal system: tetragonal
Formation energy, meV/atom: 383



Record 4
NbNiAs2Ir after structural relaxation. Source: the Alexandria database, functional PBE-GGA.

Cell lengths 4.3726, 4.3726, 4.7002 Å; angles 90.00, 90.00, 90.00 degrees
With the nearest neighbours (Å) after each atom.
Fractional coordinates of all 5 atoms:
Nb1 0.0000 0.0000 0.0000  2 Ni 2.35
Ni1 0.0000 0.0000 0.5000  4 As 2.19, 2 Nb 2.35
As1 0.0000 0.5000 0.5000  2 Ni 2.19
As2 0.5000 0.0000 0.5000  2 Ni 2.19
Ir1 0.5000 0.5000 0.0000  4 Nb 3.09, 8 As 3.21

Crystal system: tetragonal
Formation energy, meV/atom: 784